(1)
Computed, not measured: an optimized crystal structure of BeNi4Pt3 at the PBE-GGA level of DFT.

V, Å³/atom: 12.3

Cell lengths 2.6852, 2.6852, 13.6837 Å; angles 90.00, 90.00, 90.00 degrees
Space group P4/mmm (No. 123)
One atom of each set of equivalent atoms:
Be: 0.0000 0.0000 0.0000
Ni: 0.5000 0.5000 0.0930
Ni: 0.5000 0.5000 0.3651
Pt: 0.0000 0.0000 0.2303
Pt: 0.0000 0.0000 0.5000



(2)
Computed, not measured: an optimized crystal structure of BeNiPt2 at the PBE-GGA level of DFT.

V, Å³/atom: 13.1

Cell lengths 4.2847, 2.7611, 4.6819 Å; angles 90.00, 109.48, 90.00 degrees
Space group P2/m (No. 10)
One atom of each set of equivalent atoms:
Be: 0.0000 0.0000 0.0000
Ni: 0.0000 0.5000 0.5000
Pt: 0.5000 0.0000 0.5000
Pt: 0.5000 0.5000 0.0000



(3)
Computed, not measured: an optimized crystal structure of Be2NiPt at the PBE-GGA level of DFT.

V, Å³/atom: 12.1

Cell lengths 3.6137, 3.6137, 14.8529 Å; angles 90.00, 90.00, 90.00 degrees
Space group I-42d (No. 122)
One atom of each set of equivalent atoms:
Be: 0.2323 0.2500 0.1250
Ni: 0.0000 0.0000 0.0000
Pt: 0.0000 0.0000 0.5000



(4)
Computed, not measured: an optimized crystal structure of BeNiPt2 at the PBE-GGA level of DFT.

V, Å³/atom: 12.7

Cell lengths 2.7326, 3.8654, 5.0119 Å; angles 90.00, 105.82, 90.00 degrees
Space group Pm (No. 6)
One atom of each set of equivalent atoms:
Be: 0.0000 0.0000 0.0000
Ni: 0.1332 0.5000 0.2719
Pt: 0.4075 0.5000 0.8199
Pt: 0.7369 0.0000 0.4787



(5)
Computed, not measured: an optimized crystal structure of Be2Ni2Pt at the PBE-GGA level of DFT.

V, Å³/atom: 10.4
Offset from the most stable computed form, eV per atom: 0.000

Cell lengths 6.1979, 6.1979, 2.7148 Å; angles 90.00, 90.00, 90.00 degrees
Space group P4/mbm (No. 127)
One atom of each set of equivalent atoms:
Be: 0.1334 0.3666 0.0000
Ni: 0.1573 0.6573 0.5000
Pt: 0.0000 0.0000 0.0000



(6)
Computed, not measured: an optimized crystal structure of BeNiPt2 at the PBE-GGA level of DFT.

V, Å³/atom: 12.7

Cell lengths 5.5227, 6.5846, 2.7841 Å; angles 90.00, 90.00, 90.00 degrees
Space group Cmmm (No. 65)
One atom of each set of equivalent atoms:
Be: 0.0000 0.0000 0.0000
Ni: 0.0000 0.5000 0.0000
Pt: 0.2500 0.2500 0.5000



(7)
Computed, not measured: an optimized crystal structure of BeNiPt2 at the PBE-GGA level of DFT.

V, Å³/atom: 12.5

Cell lengths 2.7584, 2.7584, 6.5924 Å; angles 90.00, 90.00, 90.00 degrees
Space group P4/mmm (No. 123)
One atom of each set of equivalent atoms:
Be: 0.0000 0.0000 0.0000
Ni: 0.0000 0.0000 0.5000
Pt: 0.5000 0.5000 0.2208



(8)
Computed, not measured: an optimized crystal structure of BeNiPt at the PBE-GGA level of DFT.

V, Å³/atom: 11.4
Offset from the most stable computed form, eV per atom: 0.055

Cell lengths 2.7347, 2.7347, 9.1303 Å; angles 90.00, 90.00, 90.00 degrees
Space group I4mm (No. 107)
One atom of each set of equivalent atoms:
Be: 0.0000 0.0000 0.0000
Ni: 0.0000 0.0000 0.3610
Pt: 0.0000 0.0000 0.6568



| no. | ΔH_f (0 K) (kJ per mole of atoms) | D(E_F) (states/eV/f.u.) | mass density (g/cm3) |
| --- | --- | --- | --- |
| 1 | -18.3 | 9.82 | 13.95 |
| 2 | -24.3 | 3.22 | 14.56 |
| 3 | -0.1 | 2.22 | 9.31 |
| 4 | -29.9 | 4.27 | 14.93 |
| 5 | -39.1 | 3.03 | 10.52 |
| 6 | -36.4 | 4.27 | 15.02 |
| 7 | -41.4 | 6.02 | 15.16 |
| 8 | -40.6 | 3.31 | 12.78 |